An optimized crystal structure of Ba3Ca2Zn4Ag2. Source: Alexandria via LeMat-Bulk, functional PBE-GGA.

Cell: 4.8073 4.8073 18.1855 Å, 90.00 90.00 120.00°
With the nearest neighbours (Å) after each atom.
Positions (direct):
Ba  0.0000  0.0000  0.0000  6 Ag 3.56, 6 Zn 3.57
Ba  0.0000  0.0000  0.2447  6 Zn 3.54-3.55, 3 Ag 3.55
Ba  0.0000  0.0000  0.7553  6 Zn 3.54-3.55, 3 Ag 3.55
Ca  0.3333  0.6667  0.5666  3 Zn 3.03
Ca  0.6667  0.3333  0.4334  3 Zn 3.03
Zn  0.3333  0.6667  0.3668  3 Ca 3.03
Zn  0.3333  0.6667  0.8765  3 Ag 2.78
Zn  0.6667  0.3333  0.1235  3 Ag 2.78
Zn  0.6667  0.3333  0.6332  3 Ca 3.03
Ag  0.3333  0.6667  0.1226  3 Zn 2.78
Ag  0.6667  0.3333  0.8774  3 Zn 2.78

Output
D(E_F) = 11.46 states/eV/f.u.
energy of formation from the pure elements = -0.1308 eV/atom
mass density = 4.42 g/cm³
SG = P-3m1, No. 164
spin magnetization = 0.0 μB per formula unit